Record 1
{"formula": "K2TlAgF6", "functional": "GGA-PBE", "state": "relaxed", "lattice_angstrom": [[-0.886, 5.736, 2.832], [1.047, 0.668, 6.338], [5.085, 3.387, 2.093]], "species": ["K", "K", "F", "F", "F", "Ag", "F", "Tl", "F", "F"], "frac_coords": [[0.750, 0.750, 0.750], [0.250, 0.250, 0.250], [0.241, 0.241, 0.759], [0.241, 0.759, 0.759], [0.241, 0.759, 0.241], [0.500, 0.500, 0.500], [0.759, 0.241, 0.241], [0.000, 0.000, 0.000], [0.759, 0.241, 0.759], [0.759, 0.759, 0.241]], "e_above_lowest_polymorph_mev_per_atom": 39, "formation_energy_uncorrected_ev_per_atom": -2.0694}

***

Record 2
{"formula": "MoPd2C", "functional": "GGA-PBE", "state": "relaxed", "lattice_angstrom": [[-4.340, 2.638, 4.999], [-5.559, -0.850, -4.377], [-5.268, -1.147, 1.112]], "species": ["Mo", "Pd", "C", "Pd", "Pd", "Pd", "C", "Mo"], "frac_coords": [[0.750, 0.250, 0.500], [0.875, 0.766, 0.750], [0.250, 0.750, 0.500], [0.375, 0.484, 0.750], [0.516, 0.125, 0.250], [0.234, 0.625, 0.250], [0.500, 0.500, 0.000], [0.000, 0.000, 0.000]], "formation_enthalpy_0k_ev_per_atom": 0.668}

***

Number 1: E_tot -3.93 eV/atom, density 4.40 Mg/m³. Number 2: E_tot -6.94 eV/atom, density 9.47 Mg/m³.